First-principles (GGA-PBE) data for a relaxed CaB2Pt5 crystal, as listed in Alexandria.

Geometry as CIF:
```
data_CaB2Pt5
_chemical_formula_sum 'Ca1 B2 Pt5'
_cell_length_a 5.980
_cell_length_b 5.980
_cell_length_c 5.980
_cell_angle_alpha 140.76
_cell_angle_beta 114.51
_cell_angle_gamma 79.08
_symmetry_space_group_name_H-M 'P 1'
_symmetry_Int_Tables_number 1
loop_
_symmetry_equiv_pos_as_xyz
'x,y,z'
loop_
_atom_site_label
_atom_site_fract_x
_atom_site_fract_y
_atom_site_fract_z
_atom_site_occupancy
Ca1 0.000 0.000 0.000 1
B1 0.263 0.763 0.500 1
B2 0.737 0.237 0.500 1
Pt1 0.132 0.345 0.787 1
Pt2 0.442 0.655 0.787 1
Pt3 0.500 0.000 0.500 1
Pt4 0.558 0.345 0.213 1
Pt5 0.868 0.655 0.213 1
```

Calculated values
DFT formation energy in eV/atom: -0.51
Total moment in μB per formula unit: 0.00